10
Lattice="7.4855 0.0000 0.0000 0.0000 7.4855 0.0000 0.0000 0.0000 2.9113" Properties=species:S:1:pos:R:3 comment="Ge2BPt2 (PBE, relaxed)" dos_at_fermi_per_ev_cell=4.95 magmom_total_mub_per_fu=0.00 energy_ha_per_atom=-0.183 formation_energy_ev_per_atom=0.607 polymorph_energy_mev_per_atom=19 pbc="T T T"
Ge 1.2120 2.5307 0.0000
Ge 2.5307 6.2734 0.0000
Ge 4.9547 1.2120 0.0000
Ge 6.2734 4.9547 0.0000
B 0.0000 0.0000 0.0000
B 3.7427 3.7427 0.0000
Pt 1.0225 4.7652 1.4556
Pt 2.7203 1.0225 1.4556
Pt 4.7652 6.4630 1.4556
Pt 6.4630 2.7203 1.4556


7
Lattice="-2.3211 2.3211 5.4212 2.3211 -2.3211 5.4212 2.3211 2.3211 -5.4212" Properties=species:S:1:pos:R:3 comment="GeB2Pt4 (PBE, relaxed)" dos_at_fermi_per_ev_cell=4.69 magmom_total_mub_per_fu=0.00 energy_ha_per_atom=-0.200 formation_energy_ev_per_atom=0.587 pbc="T T T"
Ge 0.0000 0.0000 0.0000
B 0.0000 0.0000 4.5957
B 0.0000 0.0000 6.2466
Pt 2.3211 0.0000 0.0000
Pt 0.0000 0.0000 2.6486
Pt 0.0000 2.3211 0.0000
Pt 0.0000 0.0000 8.1937


4
Lattice="1.4961 0.8638 7.8771 -1.4961 0.8638 7.8771 0.0000 -1.7276 7.8771" Properties=species:S:1:pos:R:3 comment="GeBPt2 (PBE, relaxed)" dos_at_fermi_per_ev_cell=1.76 magmom_total_mub_per_fu=0.00 energy_ha_per_atom=-0.215 formation_energy_ev_per_atom=-0.018 polymorph_energy_mev_per_atom=147 pbc="T T T"
Ge 0.0000 0.0000 0.0000
B 0.0000 0.0000 11.8157
Pt 0.0000 0.0000 2.6056
Pt 0.0000 0.0000 21.0258


5
Lattice="4.2635 0.0000 0.0000 0.0000 4.2635 0.0000 0.0000 0.0000 4.2635" Properties=species:S:1:pos:R:3 comment="GeBPt3 (PBE, relaxed)" dos_at_fermi_per_ev_cell=4.06 magmom_total_mub_per_fu=0.00 energy_ha_per_atom=-0.216 formation_energy_ev_per_atom=-0.001 polymorph_energy_mev_per_atom=204 pbc="T T T"
Ge 0.0000 0.0000 0.0000
B 2.1318 2.1318 2.1318
Pt 0.0000 2.1318 2.1318
Pt 2.1318 0.0000 2.1318
Pt 2.1318 2.1318 0.0000


19
Lattice="7.7494 -2.8493 0.0000 7.7494 2.8493 0.0000 -4.0368 0.0000 7.0556" Properties=species:S:1:pos:R:3 comment="Ge5B2Pt12 (PBE, relaxed)" dos_at_fermi_per_ev_cell=8.79 magmom_total_mub_per_fu=0.00 energy_ha_per_atom=-0.220 formation_energy_ev_per_atom=-0.261 pbc="T T T"
Ge 0.0000 0.0000 0.0000
Ge 4.0540 0.0000 0.9305
Ge 2.2540 0.0000 4.6119
Ge 9.2080 0.0000 2.4437
Ge 7.4081 0.0000 6.1251
B 5.7310 1.3418 3.5278
B 5.7310 -1.3418 3.5278
Pt -2.4292 0.0000 4.9971
Pt 3.5717 1.4398 2.9631
Pt 1.6736 1.4144 6.6361
Pt 9.7885 1.4144 0.4195
Pt 7.8903 1.4398 4.0925
Pt 6.5293 0.0000 2.0247
Pt 4.9327 0.0000 5.0309
Pt 3.5717 -1.4398 2.9631
Pt 1.6736 -1.4144 6.6361
Pt 9.7885 -1.4144 0.4195
Pt 7.8903 -1.4398 4.0925
Pt 13.8912 0.0000 2.0585


11
Lattice="6.8187 -2.0108 0.0000 6.8187 2.0108 0.0000 -2.2054 0.0000 5.8360" Properties=species:S:1:pos:R:3 comment="GeB2Pt8 (PBE, relaxed)" dos_at_fermi_per_ev_cell=6.19 magmom_total_mub_per_fu=0.00 energy_ha_per_atom=-0.228 formation_energy_ev_per_atom=-0.185 pbc="T T T"
Ge 0.0000 0.0000 0.0000
B 3.7568 0.0000 1.9702
B 7.6753 0.0000 3.8658
Pt 0.2135 0.0000 3.1912
Pt 2.5465 0.0000 0.2749
Pt 2.9348 0.0000 3.8873
Pt 5.7959 0.0000 1.1687
Pt 5.6362 0.0000 4.6673
Pt 8.4973 0.0000 1.9487
Pt 8.8856 0.0000 5.5611
Pt 11.2186 0.0000 2.6448


5
Lattice="4.1611 0.0000 0.0000 0.0000 4.1611 0.0000 0.0000 0.0000 4.1611" Properties=species:S:1:pos:R:3 comment="GeB3Pt (PBE, relaxed)" dos_at_fermi_per_ev_cell=2.09 magmom_total_mub_per_fu=0.00 energy_ha_per_atom=-0.180 formation_energy_ev_per_atom=1.247 polymorph_energy_mev_per_atom=0 pbc="T T T"
Ge 0.0000 0.0000 0.0000
B 0.0000 2.0806 2.0806
B 2.0806 0.0000 2.0806
B 2.0806 2.0806 0.0000
Pt 2.0806 2.0806 2.0806


5
Lattice="4.3119 0.0000 0.0000 0.0000 4.3119 0.0000 0.0000 0.0000 4.3119" Properties=species:S:1:pos:R:3 comment="Ge3BPt (PBE, relaxed)" dos_at_fermi_per_ev_cell=3.23 magmom_total_mub_per_fu=0.00 energy_ha_per_atom=-0.175 formation_energy_ev_per_atom=0.549 polymorph_energy_mev_per_atom=0 pbc="T T T"
Ge 0.0000 0.0000 2.1559
Ge 0.0000 2.1559 0.0000
Ge 2.1559 0.0000 0.0000
B 0.0000 0.0000 0.0000
Pt 2.1559 2.1559 2.1559